[1]
YAl2P | Alexandria | PBE-GGA | relaxed; DOS(E_F) = 0.60 states/eV per atom; formation enthalpy at 0 K = -6.50 kcal/mol of atoms
1.0
-0.4518 -0.0761 -3.3937
-1.8793 -2.8448 0.3140
-5.3764 3.6217 0.6346
Al P Y
2 1 1
Direct
0.0000 0.0000 0.0563 Al
0.0000 0.0000 0.4437 Al
0.5000 0.5000 0.2500 P
0.5000 0.5000 0.7500 Y

---

[2]
Tb3Er2Tl4 | Alexandria | PBE-GGA | relaxed; DOS(E_F) = 0.71 states/eV per atom; formation enthalpy at 0 K = -4.02 kcal/mol of atoms
1.0
-0.9514 -7.1029 0.4119
9.5469 -1.2835 -0.0812
0.5999 3.9846 7.5505
Tb Tl Er
6 8 4
Direct
0.4626 0.2500 0.4251 Tb
0.0374 0.7500 0.5749 Tb
0.0000 0.0000 0.0000 Tb
0.5374 0.7500 0.5749 Tb
0.5000 0.5000 0.0000 Tb
0.9626 0.2500 0.4251 Tb
0.3044 0.4710 0.6088 Tl
0.1956 0.9710 0.3912 Tl
0.2594 0.2500 0.0187 Tl
0.7406 0.7500 0.9813 Tl
0.8044 0.0290 0.6088 Tl
0.2406 0.7500 0.9813 Tl
0.6956 0.5290 0.3912 Tl
0.7594 0.2500 0.0187 Tl
0.1073 0.5539 0.2146 Er
0.8927 0.4461 0.7854 Er
0.3927 0.0539 0.7854 Er
0.6073 0.9461 0.2146 Er

---

[3]
CsCaSeBr2 | Alexandria | PBE-GGA | relaxed; formation energy from raw total energies = -2.37 eV per formula unit; DOS(E_F) = 0.85 states/eV per atom
1.0
-4.9388 -2.6467 -2.8888
-0.1019 -4.5599 4.3518
-3.5834 3.1620 3.2293
Ca Br Cs Se
1 2 1 1
Direct
0.5000 0.5000 0.5000 Ca
0.0000 0.5000 0.0000 Br
0.5000 0.0000 0.0000 Br
0.0000 0.0000 0.0000 Cs
0.0000 0.0000 0.5000 Se

---

[4]
PmGa4Ru4 | Alexandria | PBE-GGA | relaxed; DOS(E_F) = 0.68 states/eV per atom; formation enthalpy at 0 K = -7.10 kcal/mol of atoms
1.0
-2.7331 1.5145 -4.9042
-4.5874 -3.2129 1.5644
-3.5888 7.1772 4.2165
Ru Ga Pm
8 8 2
Direct
0.2207 0.5000 0.9107 Ru
0.0000 0.7207 0.4107 Ru
0.7207 0.0000 0.5893 Ru
0.7793 0.5000 0.9107 Ru
0.0000 0.2793 0.4107 Ru
0.2793 0.0000 0.5893 Ru
0.5000 0.2207 0.0893 Ru
0.5000 0.7793 0.0893 Ru
0.7201 0.0000 0.3001 Ga
0.0000 0.7201 0.6999 Ga
0.5000 0.2201 0.8001 Ga
0.2799 0.0000 0.3001 Ga
0.0000 0.2799 0.6999 Ga
0.5000 0.7799 0.8001 Ga
0.2201 0.5000 0.1999 Ga
0.7799 0.5000 0.1999 Ga
0.0000 0.0000 0.0000 Pm
0.5000 0.5000 0.5000 Pm

---

[5]
Ac2CeI | Alexandria | PBE-GGA | relaxed; formation energy from raw total energies = -1.22 eV per formula unit; DOS(E_F) = 1.84 states/eV per atom
1.0
3.8945 0.0000 0.0000
0.0000 3.8945 0.0000
0.0000 0.0000 10.3587
Ac I Ce
2 1 1
Direct
0.0000 0.0000 0.7488 Ac
0.0000 0.0000 0.2512 Ac
0.5000 0.5000 0.5000 I
0.5000 0.5000 0.0000 Ce

---

[6]
K2YTa | Alexandria | PBE-GGA | relaxed; DOS(E_F) = 1.30 states/eV per atom; formation enthalpy at 0 K = 17.93 kcal/mol of atoms
1.0
-2.4958 0.7725 -13.2331
-0.8300 -2.2345 -13.2763
-4.2064 -2.1489 -12.6345
K Y Ta
2 1 1
Direct
0.0066 0.0066 0.0066 K
0.2360 0.2360 0.2360 K
0.7658 0.7658 0.7658 Y
0.4916 0.4916 0.4916 Ta

---

[7]
K3CrGa | Alexandria | PBE-GGA | relaxed; DOS(E_F) = 0.99 states/eV per atom; formation enthalpy at 0 K = 18.29 kcal/mol of atoms
1.0
6.4628 0.0000 0.0000
0.0000 6.4628 0.0000
0.0000 0.0000 6.4628
K Ga Cr
3 1 1
Direct
0.0000 0.0000 0.5000 K
0.0000 0.5000 0.0000 K
0.5000 0.0000 0.0000 K
0.0000 0.0000 0.0000 Ga
0.5000 0.5000 0.5000 Cr

---

[8]
BRuRh | Alexandria | PBE-GGA | relaxed; DOS(E_F) = 0.91 states/eV per atom; formation enthalpy at 0 K = -3.58 kcal/mol of atoms
1.0
6.6549 0.0000 0.0089
0.0000 2.8604 0.0000
-5.1630 0.0000 7.2548
B Ru Rh
4 4 4
Direct
0.8895 0.0000 0.9482 B
0.1942 0.0000 0.2020 B
0.8895 0.5000 0.4482 B
0.1942 0.5000 0.7020 B
0.1805 0.0000 0.5075 Ru
0.4332 0.5000 0.3999 Ru
0.1805 0.5000 0.0075 Ru
0.4332 0.0000 0.8999 Ru
0.6360 0.5000 0.7557 Rh
0.6360 0.0000 0.2557 Rh
0.9012 0.5000 0.1461 Rh
0.9012 0.0000 0.6461 Rh

---

[9]
Pr3Ho3In2 | Alexandria | PBE-GGA | relaxed; DOS(E_F) = 1.24 states/eV per atom; formation enthalpy at 0 K = -3.74 kcal/mol of atoms
1.0
-3.0412 2.6874 -3.1764
-3.2944 -3.3490 4.5016
0.7887 13.0516 10.2872
In Pr Ho
4 6 6
Direct
0.2390 0.4779 0.1285 In
0.7610 0.5221 0.6285 In
0.2390 0.4779 0.3715 In
0.7610 0.5221 0.8715 In
0.9561 0.9122 0.1040 Pr
0.0439 0.0878 0.8960 Pr
0.9561 0.9122 0.3960 Pr
0.0439 0.0878 0.6040 Pr
0.2732 0.5463 0.7500 Pr
0.7268 0.4537 0.2500 Pr
0.3619 0.7237 0.5397 Ho
0.6381 0.2763 0.0397 Ho
0.3619 0.7237 0.9603 Ho
0.4469 0.8937 0.2500 Ho
0.5531 0.1063 0.7500 Ho
0.6381 0.2763 0.4603 Ho

---

[10]
VSe3 | Alexandria | PBE-GGA | relaxed; formation energy from raw total energies = -1.77 eV per formula unit; DOS(E_F) = 0.44 states/eV per atom
1.0
-0.4512 -3.2518 0.0641
6.5731 0.7725 1.3548
-1.6110 0.3733 7.6032
V Se
2 6
Direct
0.2410 0.4819 0.2500 V
0.7590 0.5181 0.7500 V
0.8461 0.6923 0.4315 Se
0.1539 0.3077 0.5685 Se
0.5992 0.1985 0.2500 Se
0.4008 0.8015 0.7500 Se
0.1539 0.3077 0.9315 Se
0.8461 0.6923 0.0685 Se

---

| no. | raw total energy (eV for the cell shown) |
| --- | --- |
| 1 | -20.49 |
| 2 | -68.10 |
| 3 | -12.06 |
| 4 | -113.46 |
| 5 | -16.92 |
| 6 | -17.40 |
| 7 | -11.98 |
| 8 | -95.08 |
| 9 | -69.69 |
| 10 | -42.69 |